(1)
Material: Nb2ZnRh
Method: DFT, PBE
State: optimized geometry

Unit cell a=3.9673 b=3.9673 c=4.0770 alpha=90.00 beta=90.00 gamma=90.00
Last column: nearest neighbours and their distance in Å.
Space group P4/mmm (No. 123)
Asymmetric unit:
Nb (0.0000, 0.5000, 0.0000) (multiplicity 2)  4 Nb 2.81, 4 Rh 2.84, 4 Zn 2.84
Zn (0.0000, 0.0000, 0.5000) (multiplicity 1)  4 Rh 2.81, 8 Nb 2.84
Rh (0.5000, 0.5000, 0.5000) (multiplicity 1)  4 Zn 2.81, 8 Nb 2.84


(2)
Material: Nb2ZnRh
Method: DFT, PBE
State: optimized geometry

Unit cell a=7.3347 b=7.3347 c=5.2643 alpha=90.00 beta=90.00 gamma=90.00
Last column: nearest neighbours and their distance in Å.
Space group I-42d (No. 122)
Asymmetric unit:
Nb (0.2230, 0.2500, 0.1250) (multiplicity 8)  2 Rh 2.54, 2 Nb 2.66, 2 Zn 2.81
Zn (0.0000, 0.0000, 0.5000) (multiplicity 4)  2 Rh 2.63, 4 Nb 2.81
Rh (0.0000, 0.0000, 0.0000) (multiplicity 4)  4 Nb 2.54, 2 Zn 2.63


(3)
Material: NbZnRh3
Method: DFT, PBE
State: optimized geometry

Properties
ΔE to the lowest computed polymorph = 892 meV/atom

Unit cell a=4.7182 b=4.7182 c=4.7182 alpha=90.00 beta=90.00 gamma=90.00
Last column: nearest neighbours and their distance in Å.
Space group Pm-3m (No. 221)
Asymmetric unit:
Nb (0.0000, 0.0000, 0.0000) (multiplicity 1)  6 Rh 2.36
Zn (0.5000, 0.5000, 0.5000) (multiplicity 1)  12 Rh 3.34
Rh (0.0000, 0.0000, 0.5000) (multiplicity 3)  2 Nb 2.36


(4)
Material: NbZn4Rh
Method: DFT, PBE
State: optimized geometry

Unit cell a=7.0490 b=7.0490 c=7.0490 alpha=90.00 beta=90.00 gamma=90.00
Last column: nearest neighbours and their distance in Å.
Space group F-43m (No. 216)
Asymmetric unit:
Nb (0.0000, 0.0000, 0.0000) (multiplicity 4)  12 Zn 2.92, 4 Rh 3.05
Zn (0.1250, 0.1250, 0.6250) (multiplicity 16)  6 Zn 2.49
Rh (0.2500, 0.2500, 0.2500) (multiplicity 4)  12 Zn 2.92, 4 Nb 3.05


(5)
Material: Nb6ZnRh12
Method: DFT, PBE
State: optimized geometry

Unit cell a=9.5865 b=9.5865 c=11.3765 alpha=90.00 beta=90.00 gamma=120.00
Last column: nearest neighbours and their distance in Å.
Space group R-3 (No. 148, hexagonal axes)
Asymmetric unit:
Nb (0.0179, 0.5987, 0.2181) (multiplicity 18)  8 Rh 2.63-2.81, 1 Zn 2.82
Zn (0.0000, 0.0000, 0.5000) (multiplicity 3)  6 Rh 2.54, 6 Nb 2.82
Rh (0.0335, 0.8502, 0.3282) (multiplicity 18)  1 Zn 2.54, 4 Nb 2.65-2.81, 4 Rh 2.73-2.81
Rh (0.0517, 0.1997, 0.9071) (multiplicity 18)  4 Nb 2.63-2.74, 4 Rh 2.73-2.93


(6)
Material: NbZnRh2
Method: DFT, PBE
State: optimized geometry

Unit cell a=4.0750 b=4.0750 c=7.2140 alpha=90.00 beta=90.00 gamma=90.00
Last column: nearest neighbours and their distance in Å.
Space group I4/mmm (No. 139)
Asymmetric unit:
Nb (0.0000, 0.0000, 0.0000) (multiplicity 2)  8 Rh 2.72, 4 Zn 2.88
Zn (0.0000, 0.0000, 0.5000) (multiplicity 2)  8 Rh 2.72, 4 Nb 2.88
Rh (0.0000, 0.5000, 0.2500) (multiplicity 4)  4 Nb 2.72, 4 Zn 2.72, 4 Rh 2.88


(7)
Material: NbZnRh
Method: DFT, PBE
State: optimized geometry

Unit cell a=3.2074 b=3.2074 c=9.0357 alpha=90.00 beta=90.00 gamma=90.00
Last column: nearest neighbours and their distance in Å.
Space group I4mm (No. 107)
Asymmetric unit:
Nb (0.0000, 0.0000, 0.0000) (multiplicity 2)  4 Rh 2.71, 5 Zn 2.78-2.90
Zn (0.0000, 0.0000, 0.3215) (multiplicity 2)  4 Rh 2.68, 5 Nb 2.78-2.90
Rh (0.0000, 0.0000, 0.6637) (multiplicity 2)  4 Zn 2.68, 4 Nb 2.71


(8)
Material: NbZn2Rh3
Method: DFT, PBE
State: optimized geometry

Properties
ΔE to the lowest computed polymorph = 0 meV/atom

Unit cell a=4.4066 b=13.2164 c=6.0502 alpha=90.00 beta=90.00 gamma=90.00
Last column: nearest neighbours and their distance in Å.
Space group Cmmm (No. 65)
Asymmetric unit:
Nb (0.0000, 0.1582, 0.0000) (multiplicity 4)  8 Rh 2.62-2.74
Zn (0.0000, 0.1692, 0.5000) (multiplicity 4)  8 Rh 2.63-2.68
Zn (0.0000, 0.5000, 0.0000) (multiplicity 2)  8 Rh 2.69-2.71
Zn (0.0000, 0.5000, 0.5000) (multiplicity 2)  8 Rh 2.64-2.70
Rh (0.0000, 0.0000, 0.2601) (multiplicity 4)  2 Nb 2.62, 6 Zn 2.64-2.71, 1 Rh 2.90
Rh (0.0000, 0.3316, 0.2488) (multiplicity 8)  5 Zn 2.63-2.70, 3 Nb 2.67-2.74


(9)
Material: NbZn2Rh3
Method: DFT, PBE
State: optimized geometry

Properties
ΔE to the lowest computed polymorph = 57 meV/atom

Unit cell a=3.1712 b=3.1712 c=8.8243 alpha=90.00 beta=90.00 gamma=90.00
Last column: nearest neighbours and their distance in Å.
Space group P4/mmm (No. 123)
Asymmetric unit:
Nb (0.0000, 0.0000, 0.0000) (multiplicity 1)  8 Rh 2.69
Zn (0.0000, 0.0000, 0.3430) (multiplicity 2)  8 Rh 2.64-2.72, 1 Zn 2.77
Rh (0.5000, 0.5000, 0.1687) (multiplicity 2)  4 Nb 2.69, 4 Zn 2.72, 2 Rh 2.92-2.98
Rh (0.5000, 0.5000, 0.5000) (multiplicity 1)  8 Zn 2.64, 2 Rh 2.92


(10)
Material: Nb2ZnRh3
Method: DFT, PBE
State: optimized geometry

Properties
ΔE to the lowest computed polymorph = 92 meV/atom

Unit cell a=4.1300 b=12.2994 c=3.6614 alpha=90.00 beta=90.00 gamma=90.00
Last column: nearest neighbours and their distance in Å.
Space group Cmmm (No. 65)
Asymmetric unit:
Nb (0.0000, 0.1639, 0.0000) (multiplicity 4)  8 Rh 2.72-2.77, 2 Zn 2.89, 2 Nb 2.96
Zn (0.0000, 0.5000, 0.0000) (multiplicity 2)  8 Rh 2.75-2.76, 4 Nb 2.89
Rh (0.0000, 0.0000, 0.5000) (multiplicity 2)  4 Nb 2.72, 4 Zn 2.76, 4 Rh 2.92
Rh (0.0000, 0.3326, 0.5000) (multiplicity 4)  2 Zn 2.75, 6 Nb 2.76-2.77, 4 Rh 2.90-2.92


(11)
Material: Nb2ZnRh
Method: DFT, PBE
State: optimized geometry

Unit cell a=2.8185 b=2.8185 c=30.5138 alpha=90.00 beta=90.00 gamma=120.00
Last column: nearest neighbours and their distance in Å.
Space group R-3m (No. 166, hexagonal axes)
Asymmetric unit:
Nb (0.0000, 0.0000, 0.0913) (multiplicity 6)  1 Zn 2.78, 3 Rh 2.82, 6 Nb 2.82
Zn (0.0000, 0.0000, 0.0000) (multiplicity 3)  2 Nb 2.78, 6 Zn 2.82
Rh (0.0000, 0.0000, 0.5000) (multiplicity 3)  6 Nb 2.82, 6 Rh 2.82


(12)
Material: NbZnRh
Method: DFT, PBE
State: optimized geometry

Unit cell a=3.7790 b=3.7790 c=6.7774 alpha=90.00 beta=90.00 gamma=90.00
Last column: nearest neighbours and their distance in Å.
Space group P4/nmm (No. 129, origin choice 2)
Asymmetric unit:
Nb (0.2500, 0.2500, 0.1543) (multiplicity 2)  5 Rh 2.52-2.71
Zn (0.2500, 0.7500, 0.5000) (multiplicity 2)  4 Zn 2.67, 4 Rh 2.69
Rh (0.2500, 0.2500, 0.7822) (multiplicity 2)  5 Nb 2.52-2.71, 4 Zn 2.69


(13)
Material: NbZnRh
Method: DFT, PBE
State: optimized geometry

Unit cell a=5.2071 b=5.2071 c=12.6757 alpha=90.00 beta=90.00 gamma=120.00
Last column: nearest neighbours and their distance in Å.
Space group P6_222 (No. 180)
Asymmetric unit:
Nb (0.0000, 0.0000, 0.0000) (multiplicity 3)  6 Rh 2.97-3.09, 4 Zn 3.31
Nb (0.0000, 0.5000, 0.1667) (multiplicity 3)  4 Zn 2.60, 4 Rh 2.62
Zn (0.0000, 0.5000, 0.4947) (multiplicity 6)  4 Rh 2.56-2.60, 2 Nb 2.60, 2 Zn 2.61
Rh (0.3150, 0.6575, 0.6667) (multiplicity 6)  4 Zn 2.56-2.60, 2 Nb 2.62, 1 Rh 2.84


no.,DFT formation energy (eV per atom),volume (Å³/atom),electronic total energy (eV/atom)
1,-0.2399,16.04,-7.431
2,0.1969,17.70,-6.994
3,0.9099,21.01,-5.770
4,-0.1082,14.59,-3.861
5,-0.2849,15.88,-8.175
6,-0.5233,14.97,-7.035
7,-0.2991,15.49,-6.531
8,-0.5109,14.68,-6.290
9,-0.4536,14.79,-6.232
10,-0.3452,15.50,-7.590
11,0.1998,17.49,-6.991
12,-0.2297,16.13,-6.461
13,-0.0181,16.54,-6.250